The following is a GGA-PBE calculation of a geometry-optimized Li4Hg5Pd2 structure, from Alexandria via LeMat-Bulk.

Lattice parameters (Å, degrees): 7.6747 17.2254 3.0987 90.00 90.00 90.00
Sites, in units of the cell vectors:
Li (0.1288, 0.1600, 0.0000)
Li (0.2097, 0.4336, 0.0000)
Li (0.2903, 0.9336, 0.0000)
Li (0.3712, 0.6600, 0.0000)
Li (0.6288, 0.3400, 0.0000)
Li (0.7097, 0.0664, 0.0000)
Li (0.7903, 0.5664, 0.0000)
Li (0.8712, 0.8400, 0.0000)
Hg (0.0000, 0.0000, 0.5000)
Hg (0.1274, 0.5666, 0.5000)
Hg (0.1912, 0.8015, 0.5000)
Hg (0.3088, 0.3015, 0.5000)
Hg (0.3726, 0.0666, 0.5000)
Hg (0.5000, 0.5000, 0.5000)
Hg (0.6274, 0.9334, 0.5000)
Hg (0.6912, 0.6985, 0.5000)
Hg (0.8088, 0.1985, 0.5000)
Hg (0.8726, 0.4334, 0.5000)
Pd (0.0032, 0.6934, 0.0000)
Pd (0.4968, 0.1934, 0.0000)
Pd (0.5032, 0.8066, 0.0000)
Pd (0.9968, 0.3066, 0.0000)

Results
As for the raw total energy: -2.10 eV per atom. The formation energy from the elements is -3.54 eV per formula unit.

***

The following is a GGA-PBE calculation of a geometry-optimized CaBeAs2 structure, from Alexandria via LeMat-Bulk.

Lattice parameters (Å, degrees): 3.9653 6.5243 6.5998 90.00 90.00 90.00
Sites, in units of the cell vectors:
Ca (0.0000, 0.0000, 0.0000)
Ca (0.5000, 0.5000, 0.0000)
Be (0.0000, 0.0000, 0.5000)
Be (0.5000, 0.5000, 0.5000)
As (0.0000, 0.5000, 0.3058)
As (0.0000, 0.5000, 0.6942)
As (0.5000, 0.0000, 0.3058)
As (0.5000, 0.0000, 0.6942)

Results
As for the raw total energy: -3.91 eV per atom. The formation energy from the elements is -0.62 eV per formula unit.

***

The following is a GGA-PBE calculation of a geometry-optimized SrVC structure, from Alexandria via LeMat-Bulk.

Lattice parameters (Å, degrees): 3.6094 3.6094 9.1739 90.00 90.00 90.00
Sites, in units of the cell vectors:
Sr (0.2500, 0.2500, 0.1957)
Sr (0.7500, 0.7500, 0.8043)
V (0.2500, 0.7500, 0.5000)
V (0.7500, 0.2500, 0.5000)
C (0.2500, 0.2500, 0.6130)
C (0.7500, 0.7500, 0.3870)

Results
As for the raw total energy: -6.75 eV per atom. The formation energy from the elements is -0.24 eV per formula unit.

***

The following is a GGA-PBE calculation of a geometry-optimized Ba2CaTa structure, from Alexandria via LeMat-Bulk.

Lattice parameters (Å, degrees): 4.8864 5.2267 11.6998 90.00 90.00 90.00
Sites, in units of the cell vectors:
Ba (0.0000, 0.0000, 0.2094)
Ba (0.0000, 0.0000, 0.7906)
Ba (0.5000, 0.5000, 0.2094)
Ba (0.5000, 0.5000, 0.7906)
Ca (0.0000, 0.5000, 0.5000)
Ca (0.5000, 0.0000, 0.5000)
Ta (0.0000, 0.5000, 0.0000)
Ta (0.5000, 0.0000, 0.0000)

Results
As for the raw total energy: -3.62 eV per atom. The formation energy from the elements is 3.22 eV per formula unit. For the energy above the lowest structure with this stoichiometry, the calculation gives 1.0 meV/atom.

***

The following is a GGA-PBE calculation of a geometry-optimized CdPCl2 structure, from Alexandria via LeMat-Bulk.

Lattice parameters (Å, degrees): 6.1302 7.5107 7.6819 90.00 90.00 90.00
Sites, in units of the cell vectors:
Cd (0.0000, 0.0000, 0.0000)
Cd (0.0000, 0.5000, 0.5000)
Cd (0.5000, 0.0000, 0.5000)
Cd (0.5000, 0.5000, 0.0000)
P (0.0000, 0.0000, 0.5000)
P (0.0000, 0.5000, 0.0000)
P (0.5000, 0.0000, 0.0000)
P (0.5000, 0.5000, 0.5000)
Cl (0.0000, 0.2500, 0.2500)
Cl (0.0000, 0.2500, 0.7500)
Cl (0.0000, 0.7500, 0.2500)
Cl (0.0000, 0.7500, 0.7500)
Cl (0.5000, 0.2500, 0.2500)
Cl (0.5000, 0.2500, 0.7500)
Cl (0.5000, 0.7500, 0.2500)
Cl (0.5000, 0.7500, 0.7500)

Results
As for the raw total energy: -2.50 eV per atom. The value obtained for the uncorrected formation energy is 0.1 kJ/mol of atoms. For the energy above the lowest structure with this stoichiometry, the calculation gives 396.3 meV/atom.

***

The following is a GGA-PBE calculation of a geometry-optimized Nb4Ru4Rh5 structure, from Alexandria via LeMat-Bulk.

Lattice parameters (Å, degrees): 7.3779 7.3779 7.3779 94.06 94.06 149.15
Sites, in units of the cell vectors:
Nb (0.1362, 0.7707, 0.9069)
Nb (0.2293, 0.1362, 0.3655)
Nb (0.7707, 0.8638, 0.6345)
Nb (0.8638, 0.2293, 0.0931)
Ru (0.0790, 0.3927, 0.4717)
Ru (0.3927, 0.9210, 0.3138)
Ru (0.6073, 0.0790, 0.6862)
Ru (0.9210, 0.6073, 0.5283)
Rh (0.0000, 0.0000, 0.0000)
Rh (0.3089, 0.5437, 0.8526)
Rh (0.4563, 0.3089, 0.7652)
Rh (0.5437, 0.6911, 0.2348)
Rh (0.6911, 0.4563, 0.1474)

Results
As for the raw total energy: -9.10 eV per atom. The formation energy from the elements is -4.10 eV per formula unit.

***

The following is a GGA-PBE calculation of a geometry-optimized SrAcTeO5 structure, from Alexandria via LeMat-Bulk.

Lattice parameters (Å, degrees): 6.6841 6.6841 8.7013 108.07 108.07 97.64
Sites, in units of the cell vectors:
Sr (0.1784, 0.8216, 0.7500)
Sr (0.8216, 0.1784, 0.2500)
Ac (0.5000, 0.5000, 0.0000)
Ac (0.5000, 0.5000, 0.5000)
Te (0.1689, 0.8311, 0.2500)
Te (0.8311, 0.1689, 0.7500)
O (0.1341, 0.2136, 0.8674)
O (0.1916, 0.7048, 0.4341)
O (0.2136, 0.1341, 0.3674)
O (0.2952, 0.8084, 0.0659)
O (0.4129, 0.5871, 0.7500)
O (0.5871, 0.4129, 0.2500)
O (0.7048, 0.1916, 0.9341)
O (0.7864, 0.8659, 0.6326)
O (0.8084, 0.2952, 0.5659)
O (0.8659, 0.7864, 0.1326)

Results
As for the raw total energy: -6.34 eV per atom. The value obtained for the uncorrected formation energy is -204.6 kJ/mol of atoms.

***

The following is a GGA-PBE calculation of a geometry-optimized Dy2TmRh3 structure, from Alexandria via LeMat-Bulk.

Lattice parameters (Å, degrees): 4.8245 4.8245 11.7899 90.00 90.00 120.00
Sites, in units of the cell vectors:
Dy (0.0000, 0.0000, 0.0000)
Dy (0.0000, 0.0000, 0.5000)
Dy (0.3333, 0.6667, 0.1682)
Dy (0.6667, 0.3333, 0.8318)
Tm (0.3333, 0.6667, 0.6658)
Tm (0.6667, 0.3333, 0.3342)
Rh (0.0000, 0.0000, 0.2518)
Rh (0.0000, 0.0000, 0.7482)
Rh (0.3333, 0.6667, 0.4169)
Rh (0.3333, 0.6667, 0.9150)
Rh (0.6667, 0.3333, 0.0850)
Rh (0.6667, 0.3333, 0.5831)

Results
As for the raw total energy: -6.86 eV per atom. The formation energy from the elements is -5.44 eV per formula unit. For the energy above the lowest structure with this stoichiometry, the calculation gives 0.0 meV/atom.

***

The following is a GGA-PBE calculation of a geometry-optimized YFe2W structure, from Alexandria via LeMat-Bulk.

Lattice parameters (Å, degrees): 8.9792 3.1383 5.1019 90.00 106.00 90.00
Sites, in units of the cell vectors:
Y (0.0000, 0.0000, 0.0000)
Y (0.5000, 0.5000, 0.0000)
Fe (0.0066, 0.5000, 0.5088)
Fe (0.2252, 0.0000, 0.6912)
Fe (0.5066, 0.0000, 0.5088)
Fe (0.7252, 0.5000, 0.6912)
W (0.2838, 0.5000, 0.3735)
W (0.7838, 0.0000, 0.3735)

Results
As for the raw total energy: -8.66 eV per atom. The formation energy from the elements is 1.69 eV per formula unit. For the energy above the lowest structure with this stoichiometry, the calculation gives 261.4 meV/atom.

***

The following is a GGA-PBE calculation of a geometry-optimized Np4Tl structure, from Alexandria via LeMat-Bulk.

Lattice parameters (Å, degrees): 5.7718 5.7718 5.7718 90.00 90.00 90.00
Sites, in units of the cell vectors:
Np (0.0000, 0.0000, 0.0000)
Np (0.0000, 0.5000, 0.5000)
Np (0.5000, 0.0000, 0.5000)
Np (0.5000, 0.5000, 0.0000)
Tl (0.5000, 0.5000, 0.5000)

Results
As for the raw total energy: -9.00 eV per atom. The formation energy from the elements is 9.15 eV per formula unit.

***

The following is a GGA-PBE calculation of a geometry-optimized LiLaAl2 structure, from Alexandria via LeMat-Bulk.

Lattice parameters (Å, degrees): 6.6022 9.4089 2.9951 90.00 90.13 90.00
Sites, in units of the cell vectors:
Li (0.0000, 0.0000, 0.0000)
Li (0.5000, 0.5000, 0.0000)
La (0.0000, 0.5000, 0.0000)
La (0.5000, 0.0000, 0.0000)
Al (0.2500, 0.2500, 0.5000)
Al (0.2500, 0.7500, 0.5000)
Al (0.7500, 0.2500, 0.5000)
Al (0.7500, 0.7500, 0.5000)

Results
As for the raw total energy: -3.64 eV per atom. The formation energy from the elements is -0.22 eV per formula unit. For the energy above the lowest structure with this stoichiometry, the calculation gives 209.8 meV/atom.

***

The following is a GGA-PBE calculation of a geometry-optimized NpZn3Au structure, from Alexandria via LeMat-Bulk.

Lattice parameters (Å, degrees): 6.8685 6.8685 6.8685 135.26 89.17 107.71
Sites, in units of the cell vectors:
Np (0.4177, 0.1677, 0.2500)
Np (0.5823, 0.8323, 0.7500)
Zn (0.1603, 0.0000, 0.6603)
Zn (0.1603, 0.5000, 0.1603)
Zn (0.2042, 0.4542, 0.7500)
Zn (0.7958, 0.5458, 0.2500)
Zn (0.8397, 0.0000, 0.3397)
Zn (0.8397, 0.5000, 0.8397)
Au (0.0000, 0.5000, 0.5000)
Au (0.5000, 0.5000, 0.0000)

Results
As for the raw total energy: -3.86 eV per atom. The formation energy from the elements is 0.73 eV per formula unit. For the energy above the lowest structure with this stoichiometry, the calculation gives 231.7 meV/atom.